This record from Alexandria via LeMat-Bulk describes a geometry-optimized YTa2Re structure. The functional is PBE-GGA.

Results
For the formation energy, the calculation gives 0.13 eV/atom.

Unit cell a=5.728 b=5.728 c=5.728 alpha=147.01 beta=128.86 gamma=62.21
Positions (direct):
Ta  0.029  0.029  0.000
Ta  0.471  0.471  0.000
Y  0.750  0.250  0.500
Re  0.250  0.750  0.500